This record from Alexandria describes Cs3Mg2AgBr8 after structural relaxation. The functional is PBE.

Cell: 7.896 7.896 10.197 Å, 90.00 90.00 120.00°
Atoms (fractional coordinates):
Br (0.667, 0.333, 0.021)
Br (0.329, 0.164, 0.680)
Br (0.671, 0.836, 0.320)
Br (0.836, 0.164, 0.680)
Br (0.836, 0.671, 0.680)
Br (0.333, 0.667, 0.979)
Br (0.164, 0.329, 0.320)
Br (0.164, 0.836, 0.320)
Cs (0.000, 0.000, 0.000)
Cs (0.667, 0.333, 0.368)
Cs (0.333, 0.667, 0.632)
Ag (0.000, 0.000, 0.500)
Mg (0.333, 0.667, 0.219)
Mg (0.667, 0.333, 0.781)

Values from the calculation:
- Symmetry: No. 164
- Size of the total moment: 0.00 μB per formula unit
- Formation energy (no corrections): -1448 meV per atom


This record from Alexandria describes Sc4TlAg after structural relaxation. The functional is PBE.

Cell: 3.388 3.388 11.973 Å, 90.00 90.00 90.00°
Atoms (fractional coordinates):
Ag (0.000, 0.000, 0.000)
Sc (0.000, 0.000, 0.668)
Sc (0.500, 0.500, 0.148)
Sc (0.000, 0.000, 0.332)
Sc (0.500, 0.500, 0.852)
Tl (0.500, 0.500, 0.500)

Values from the calculation:
- Energy above the most stable polymorph in this dataset: 0.0 meV per atom
- Symmetry: No. 123
- Size of the total moment: 1.84 μB per formula unit
- ΔH_f (0 K): -0.17 eV/atom


This record from Alexandria describes Ba2SrAg after structural relaxation. The functional is PBE.

Cell: 11.620 11.620 11.620 Å, 23.16 23.16 23.16°
Atoms (fractional coordinates):
Ba (0.025, 0.025, 0.025)
Ba (0.475, 0.475, 0.475)
Sr (0.250, 0.250, 0.250)
Ag (0.750, 0.750, 0.750)

Values from the calculation:
- Energy above the most stable polymorph in this dataset: 88.3 meV per atom
- Symmetry: No. 166
- Size of the total moment: 0.33 μB per formula unit
- ΔH_f (0 K): -0.06 eV/atom


Question: Among the records above, which one has the lowest size of the total moment?
Answer: Cs3Mg2AgBr8